1.
Material: Ac2AgIrO8
Method: DFT, PBE-GGA
State: optimized geometry

Cell lengths 4.3935, 5.4909, 7.2992 Å; angles 84.57, 92.11, 95.71 degrees
Positions (direct):
O: 0.2124 0.7428 0.1228
O: 0.7778 0.6584 0.5610
O: 0.7876 0.2572 0.8772
Ir: 0.0000 0.0000 0.0000
O: 0.6983 0.7536 0.9399
Ac: 0.6972 0.4885 0.2547
Ac: 0.3028 0.5115 0.7453
Ag: 0.0000 0.0000 0.5000
O: 0.7911 0.0167 0.2366
O: 0.2089 0.9833 0.7634
O: 0.3017 0.2464 0.0601
O: 0.2222 0.3416 0.4390

Calculated values
* D(E_F): 0.4309 states/eV/atom
* total magnetization: 0.82 μB per formula unit
* space group: P-1
* formation energy from raw total energies: -1638 meV per atom


2.
Material: Ac2AgIrO5
Method: DFT, PBE-GGA
State: optimized geometry

Cell lengths 5.7380, 7.3302, 7.3302 Å; angles 90.00, 90.00, 90.00 degrees
Positions (direct):
Ag: 0.0000 0.5000 0.5000
O: 0.7536 0.8701 0.3701
Ir: 0.0000 0.5000 0.0000
O: 0.2464 0.8701 0.3701
O: 0.2464 0.1299 0.6299
Ac: 0.5000 0.8195 0.6805
Ag: 0.0000 0.0000 0.0000
O: 0.7536 0.3701 0.1299
O: 0.2464 0.3701 0.1299
O: 0.2464 0.6299 0.8701
O: 0.5000 0.5000 0.5000
Ir: 0.0000 0.0000 0.5000
Ac: 0.5000 0.3195 0.8195
O: 0.7536 0.1299 0.6299
O: 0.7536 0.6299 0.8701
Ac: 0.5000 0.1805 0.3195
Ac: 0.5000 0.6805 0.1805
O: 0.5000 0.0000 0.0000

Calculated values
* D(E_F): 0.6494 states/eV/atom
* total magnetization: 2.01 μB per formula unit
* space group: P4/mbm
* formation energy from raw total energies: -1882 meV per atom


3.
Material: AcAgIr2O8
Method: DFT, PBE-GGA
State: optimized geometry

Cell lengths 6.1895, 6.1895, 6.9105 Å; angles 90.00, 90.00, 120.00 degrees
Positions (direct):
O: 0.3442 0.1719 0.2625
O: 0.3333 0.6667 0.0893
Ac: 0.0000 0.0000 0.5000
O: 0.6558 0.8281 0.7375
O: 0.6667 0.3333 0.9107
Ir: 0.3333 0.6667 0.8327
O: 0.1723 0.3442 0.7375
O: 0.8277 0.6558 0.2625
O: 0.8281 0.1723 0.2625
Ir: 0.6667 0.3333 0.1673
O: 0.1719 0.8277 0.7375
Ag: 0.0000 0.0000 0.0000

Calculated values
* D(E_F): 0.6517 states/eV/atom
* total magnetization: 2.11 μB per formula unit
* space group: P-3m1
* formation energy from raw total energies: -853 meV per atom


4.
Material: AcAgIrPb
Method: DFT, PBE-GGA
State: optimized geometry

Cell lengths 5.1829, 5.1829, 5.1829 Å; angles 60.00, 60.00, 60.00 degrees
Positions (direct):
Ac: 0.0000 0.0000 0.0000
Ir: 0.7500 0.7500 0.7500
Pb: 0.5000 0.5000 0.5000
Ag: 0.2500 0.2500 0.2500

Calculated values
* energy of formation: -100.8 meV per atom
* D(E_F): 0.9115 states/eV/atom
* total magnetization: 0.00 μB per formula unit
* space group: F-43m


5.
Material: Ac3AgIrPd
Method: DFT, PBE-GGA
State: optimized geometry

Cell lengths 4.3642, 9.4966, 9.6078 Å; angles 106.86, 90.00, 90.00 degrees
Positions (direct):
Pd: 0.2500 0.0360 0.4240
Pd: 0.7500 0.9640 0.5760
Ag: 0.7500 0.8162 0.7919
Ir: 0.7500 0.3350 0.8235
Ac: 0.7500 0.4376 0.1447
Ac: 0.2500 0.7233 0.4935
Ac: 0.7500 0.8857 0.1841
Ac: 0.2500 0.1143 0.8159
Ac: 0.2500 0.5624 0.8553
Ag: 0.2500 0.1838 0.2081
Ac: 0.7500 0.2767 0.5065
Ir: 0.2500 0.6650 0.1765

Calculated values
* energy of formation: -586.7 meV per atom
* D(E_F): 0.5610 states/eV/atom
* total magnetization: 0.00 μB per formula unit
* space group: P2_1/m


6.
Material: AcPmAgIr
Method: DFT, PBE-GGA
State: optimized geometry

Cell lengths 5.2553, 5.2553, 5.2553 Å; angles 60.00, 60.00, 60.00 degrees
Positions (direct):
Ac: 0.5000 0.5000 0.5000
Ir: 0.2500 0.2500 0.2500
Ag: 0.7500 0.7500 0.7500
Pm: 0.0000 0.0000 0.0000

Calculated values
* energy of formation: -383.8 meV per atom
* D(E_F): 0.9280 states/eV/atom
* total magnetization: 0.00 μB per formula unit
* space group: F-43m


7.
Material: Ac4Ag2IrPt
Method: DFT, PBE-GGA
State: optimized geometry

Cell lengths 4.4368, 7.6838, 8.0290 Å; angles 108.58, 90.00, 90.00 degrees
Positions (direct):
Ac: 0.0000 0.7457 0.2173
Ac: 0.0000 0.2543 0.7827
Ir: 0.0000 0.0000 0.0000
Ag: 0.0000 0.5000 0.5000
Ag: 0.5000 0.0000 0.5000
Pt: 0.5000 0.5000 0.0000
Ac: 0.5000 0.7680 0.7844
Ac: 0.5000 0.2320 0.2156

Calculated values
* energy of formation: -612.1 meV per atom
* D(E_F): 0.5105 states/eV/atom
* total magnetization: 0.00 μB per formula unit
* space group: P2/m


8.
Material: Ac8Ag4Ir3Pt
Method: DFT, PBE-GGA
State: optimized geometry

Cell lengths 8.8253, 9.2244, 8.8260 Å; angles 118.60, 120.00, 90.00 degrees
Positions (direct):
Ir: 0.5000 0.5000 0.5000
Ag: 0.5000 0.0000 0.5000
Ag: 0.0000 0.0000 0.5000
Pt: 0.0000 0.5000 0.0000
Ir: 0.5000 0.5000 0.0000
Ac: 0.7310 0.7119 0.9715
Ac: 0.2631 0.2895 0.5263
Ac: 0.7595 0.2882 0.5191
Ag: 0.0000 0.0000 0.0000
Ac: 0.2405 0.7118 0.4809
Ir: 0.0000 0.5000 0.5000
Ac: 0.7369 0.7105 0.4737
Ag: 0.5000 0.0000 0.0000
Ac: 0.2690 0.2881 0.0285
Ac: 0.2405 0.7119 0.9715
Ac: 0.7595 0.2881 0.0285

Calculated values
* energy of formation: -554.0 meV per atom
* D(E_F): 0.4743 states/eV/atom
* total magnetization: 0.00 μB per formula unit
* space group: R-3m


9.
Material: Ac6AgIr2Pt
Method: DFT, PBE-GGA
State: optimized geometry

Cell lengths 7.7410, 7.7402, 8.2820 Å; angles 62.14, 62.14, 60.01 degrees
Positions (direct):
Ac: 0.1358 0.3760 0.7488
Ag: 0.8144 0.8142 0.5570
Ir: 0.5105 0.5105 0.4686
Ac: 0.9047 0.6066 0.2403
Ac: 0.6067 0.2482 0.2405
Ir: 0.0031 0.0034 0.9903
Ac: 0.3756 0.7397 0.7488
Pt: 0.3227 0.3226 0.0321
Ac: 0.2486 0.9044 0.2402
Ac: 0.7395 0.1361 0.7486

Calculated values
* energy of formation: -594.9 meV per atom
* D(E_F): 0.6560 states/eV/atom
* total magnetization: 0.00 μB per formula unit
* space group: R3


10.
Material: Ac6AgIr3Rh2
Method: DFT, PBE-GGA
State: optimized geometry

Cell lengths 4.3422, 8.7408, 9.6396 Å; angles 101.83, 103.02, 90.00 degrees
Positions (direct):
Rh: 0.1658 0.3337 0.3315
Ag: 0.5000 0.0000 0.0000
Ir: 0.5000 0.5000 0.0000
Ac: 0.6771 0.0926 0.3542
Ac: 0.6667 0.5925 0.3334
Ac: 0.3229 0.9074 0.6458
Ir: 0.8416 0.1582 0.6831
Ac: 0.3333 0.4075 0.6666
Ac: 0.9971 0.7269 0.9941
Rh: 0.8342 0.6663 0.6685
Ac: 0.0029 0.2731 0.0059
Ir: 0.1584 0.8418 0.3169

Calculated values
* energy of formation: -498.7 meV per atom
* D(E_F): 0.5349 states/eV/atom
* total magnetization: 0.00 μB per formula unit
* space group: C2/m


11.
Material: Ac8Ag4Ir3Rh
Method: DFT, PBE-GGA
State: optimized geometry

Cell lengths 8.7856, 9.2254, 8.7860 Å; angles 118.44, 120.00, 90.00 degrees
Positions (direct):
Ag: 0.0000 0.0000 0.5000
Ac: 0.7629 0.2909 0.5259
Ag: 0.0000 0.0000 0.0000
Ac: 0.2370 0.7091 0.9720
Ac: 0.2371 0.7091 0.4741
Ag: 0.5000 0.0000 0.5000
Ag: 0.5000 0.0000 0.0000
Rh: 0.0000 0.5000 0.0000
Ir: 0.5000 0.5000 0.5000
Ir: 0.5000 0.5000 0.0000
Ac: 0.2637 0.2910 0.5273
Ac: 0.7350 0.7091 0.9720
Ir: 0.0000 0.5000 0.5000
Ac: 0.2650 0.2909 0.0280
Ac: 0.7630 0.2909 0.0280
Ac: 0.7363 0.7090 0.4727

Calculated values
* energy of formation: -493.2 meV per atom
* D(E_F): 0.3923 states/eV/atom
* total magnetization: 0.00 μB per formula unit
* space group: R-3m


12.
Material: AcAgSbIr
Method: DFT, PBE-GGA
State: optimized geometry

Cell lengths 5.1152, 5.1152, 5.1152 Å; angles 60.00, 60.00, 60.00 degrees
Positions (direct):
Ac: 0.5000 0.5000 0.5000
Sb: 0.0000 0.0000 0.0000
Ag: 0.7500 0.7500 0.7500
Ir: 0.2500 0.2500 0.2500

Calculated values
* D(E_F): 0.6886 states/eV/atom
* total magnetization: 0.00 μB per formula unit
* space group: F-43m
* formation energy from raw total energies: -194 meV per atom


13.
Material: Ac2AgSb4Ir3
Method: DFT, PBE-GGA
State: optimized geometry

Cell lengths 4.7274, 4.7274, 10.5806 Å; angles 90.00, 90.00, 90.00 degrees
Positions (direct):
Sb: 0.0000 0.0000 0.0000
Sb: 0.0000 0.5000 0.3646
Ir: 0.0000 0.5000 0.1155
Ir: 0.0000 0.0000 0.5000
Ag: 0.5000 0.5000 0.5000
Ac: 0.5000 0.0000 0.2522
Sb: 0.5000 0.5000 0.0000
Sb: 0.5000 0.0000 0.6354
Ac: 0.0000 0.5000 0.7478
Ir: 0.5000 0.0000 0.8845

Calculated values
* D(E_F): 0.4271 states/eV/atom
* total magnetization: 0.00 μB per formula unit
* space group: P-4m2
* formation energy from raw total energies: -617 meV per atom


14.
Material: Ac4AgIrSe2
Method: DFT, PBE-GGA
State: optimized geometry

Cell lengths 4.3774, 7.6324, 8.2006 Å; angles 107.41, 90.00, 90.00 degrees
Positions (direct):
Ac: 0.5000 0.7368 0.7657
Ag: 0.0000 0.0000 0.0000
Se: 0.5000 0.0000 0.5000
Se: 0.0000 0.5000 0.5000
Ir: 0.5000 0.5000 0.0000
Ac: 0.0000 0.7291 0.2272
Ac: 0.5000 0.2632 0.2343
Ac: 0.0000 0.2709 0.7728

Calculated values
* D(E_F): 0.4180 states/eV/atom
* total magnetization: 0.00 μB per formula unit
* space group: P2/m
* formation energy from raw total energies: -1129 meV per atom


15.
Material: AcSmAgIr
Method: DFT, PBE-GGA
State: optimized geometry

Cell lengths 5.2444, 5.2444, 5.2444 Å; angles 60.00, 60.00, 60.00 degrees
Positions (direct):
Ir: 0.7500 0.7500 0.7500
Ag: 0.2500 0.2500 0.2500
Ac: 0.0000 0.0000 0.0000
Sm: 0.5000 0.5000 0.5000

Calculated values
* energy of formation: -387.4 meV per atom
* D(E_F): 0.9385 states/eV/atom
* total magnetization: 0.00 μB per formula unit
* space group: F-43m


16.
Material: Ac2AgSn4Ir3
Method: DFT, PBE-GGA
State: optimized geometry

Cell lengths 4.6589, 4.6589, 10.9268 Å; angles 90.00, 90.00, 90.00 degrees
Positions (direct):
Ir: 0.0000 0.5000 0.1274
Ir: 0.0000 0.0000 0.5000
Ag: 0.5000 0.5000 0.5000
Sn: 0.0000 0.0000 0.0000
Ir: 0.5000 0.0000 0.8726
Ac: 0.0000 0.5000 0.7536
Sn: 0.0000 0.5000 0.3682
Sn: 0.5000 0.5000 0.0000
Ac: 0.5000 0.0000 0.2464
Sn: 0.5000 0.0000 0.6318

Calculated values
* energy of formation: -541.5 meV per atom
* D(E_F): 0.5856 states/eV/atom
* total magnetization: 0.00 μB per formula unit
* space group: P-4m2


17.
Material: SrAc2AgIr
Method: DFT, PBE-GGA
State: optimized geometry

Cell lengths 5.7773, 5.7772, 6.0505 Å; angles 90.00, 90.00, 90.00 degrees
Positions (direct):
Ac: 0.0000 0.5000 0.9580
Ir: 0.0000 0.0000 0.9781
Ac: 0.5000 0.0000 0.9580
Sr: 0.0000 0.0000 0.4746
Ag: 0.5000 0.5000 0.6313

Calculated values
* energy of formation: -239.7 meV per atom
* D(E_F): 0.5858 states/eV/atom
* total magnetization: 0.00 μB per formula unit
* space group: P4mm


18.
Material: Sr2Ac5Ag2Ir2
Method: DFT, PBE-GGA
State: optimized geometry

Cell lengths 5.8494, 5.8494, 14.5563 Å; angles 101.59, 101.59, 90.00 degrees
Positions (direct):
Ac: 0.8885 0.3885 0.7771
Sr: 0.2163 0.2163 0.4326
Ag: 0.6689 0.6689 0.3379
Ir: 0.1018 0.1018 0.2035
Ir: 0.8982 0.8982 0.7965
Ag: 0.3311 0.3311 0.6621
Ac: 0.3885 0.8885 0.7771
Sr: 0.7837 0.7837 0.5674
Ac: 0.0000 0.0000 0.0000
Ac: 0.6115 0.1115 0.2229
Ac: 0.1115 0.6115 0.2229

Calculated values
* energy of formation: -248.0 meV per atom
* D(E_F): 0.6204 states/eV/atom
* total magnetization: 0.00 μB per formula unit
* space group: I4/mmm


19.
Material: AcTbAgIr
Method: DFT, PBE-GGA
State: optimized geometry

Cell lengths 5.2094, 5.2094, 5.2094 Å; angles 60.00, 60.00, 60.00 degrees
Positions (direct):
Ir: 0.7500 0.7500 0.7500
Ac: 0.5000 0.5000 0.5000
Ag: 0.2500 0.2500 0.2500
Tb: 0.0000 0.0000 0.0000

Calculated values
* energy of formation: -403.0 meV per atom
* D(E_F): 0.8664 states/eV/atom
* total magnetization: 0.00 μB per formula unit
* space group: F-43m


20.
Material: Ac8AgTe4Ir3
Method: DFT, PBE-GGA
State: optimized geometry

Cell lengths 8.9441, 9.5219, 8.9445 Å; angles 118.02, 120.00, 90.00 degrees
Positions (direct):
Te: 0.0000 0.0000 0.5000
Ac: 0.2636 0.2909 0.5272
Ac: 0.2462 0.7126 0.4923
Ir: 0.5000 0.5000 0.5000
Te: 0.5000 0.0000 0.0000
Ir: 0.0000 0.5000 0.5000
Ac: 0.2462 0.7127 0.9667
Te: 0.0000 0.0000 0.0000
Ac: 0.7538 0.2873 0.0333
Ac: 0.2795 0.2873 0.0333
Ag: 0.0000 0.5000 0.0000
Ac: 0.7364 0.7091 0.4728
Ac: 0.7538 0.2874 0.5077
Ir: 0.5000 0.5000 0.0000
Te: 0.5000 0.0000 0.5000
Ac: 0.7205 0.7127 0.9667

Calculated values
* D(E_F): 0.7457 states/eV/atom
* total magnetization: 0.00 μB per formula unit
* space group: R-3m
* formation energy from raw total energies: -1042 meV per atom


21.
Material: AcThAgIr
Method: DFT, PBE-GGA
State: optimized geometry

Cell lengths 5.2755, 5.2755, 5.2755 Å; angles 60.00, 60.00, 60.00 degrees
Positions (direct):
Ac: 0.5000 0.5000 0.5000
Ir: 0.2500 0.2500 0.2500
Ag: 0.7500 0.7500 0.7500
Th: 0.0000 0.0000 0.0000

Calculated values
* energy of formation: -321.8 meV per atom
* D(E_F): 0.9006 states/eV/atom
* total magnetization: 0.00 μB per formula unit
* space group: F-43m


22.
Material: AcTmAgIr
Method: DFT, PBE-GGA
State: optimized geometry

Cell lengths 5.1735, 5.1735, 5.1735 Å; angles 60.00, 60.00, 60.00 degrees
Positions (direct):
Ag: 0.2500 0.2500 0.2500
Ir: 0.7500 0.7500 0.7500
Tm: 0.0000 0.0000 0.0000
Ac: 0.5000 0.5000 0.5000

Calculated values
* energy of formation: -409.5 meV per atom
* D(E_F): 0.7591 states/eV/atom
* total magnetization: 0.00 μB per formula unit
* space group: F-43m


23.
Material: Ac2ZnAgIr
Method: DFT, PBE-GGA
State: optimized geometry

Cell lengths 4.4825, 7.9698, 8.1320 Å; angles 109.75, 90.00, 90.00 degrees
Positions (direct):
Ir: 0.2500 0.8731 0.8957
Ac: 0.2500 0.2757 0.9519
Zn: 0.7500 0.4451 0.3261
Zn: 0.2500 0.5549 0.6739
Ag: 0.7500 0.3483 0.6611
Ir: 0.7500 0.1269 0.1043
Ac: 0.7500 0.8662 0.6459
Ac: 0.2500 0.1338 0.3541
Ag: 0.2500 0.6517 0.3389
Ac: 0.7500 0.7243 0.0481

Calculated values
* energy of formation: -434.9 meV per atom
* D(E_F): 0.5060 states/eV/atom
* total magnetization: 0.00 μB per formula unit
* space group: P2_1/m